# HfAg3Br2Cl6

Crystalline HfAg3Br2Cl6 at its relaxed geometry (PBE, Alexandria via LeMat-Bulk).

```
HfAg3Br2Cl6
1.0
6.9847 -3.8575 0.0000
6.9847 3.8575 0.0000
-0.6928 0.0000 6.0860
Hf Ag Br Cl
1 3 2 6
Cartesian
0.0000 0.0000 0.0000
3.4924 1.9288 0.0000
3.4924 -1.9288 0.0000
6.6384 0.0000 3.0430
4.4115 0.0000 1.5859
8.8652 0.0000 4.5001
1.3615 0.0000 4.6997
5.3376 2.0968 4.6444
7.9391 2.0968 1.4416
5.3376 -2.0968 4.6444
7.9391 -2.0968 1.4416
11.9152 0.0000 1.3863
```

Properties
ΔE_f (raw): -11.33 eV/f.u.
Electronic total energy: -3.6888 eV per atom
M_tot: 0.000 μB per cell